Compound: HfAuSe2
Source: Alexandria via LeMat-Bulk
Functional: PBE-GGA
Structure: optimized geometry

Results
* size of the total moment: 0.00 μB per cell
* SG: Fm-3m, No. 225
* offset from the most stable computed form: 42.6 kJ/mol of atoms
* uncorrected formation energy: -1.34 eV/f.u.
* E: -5.38 eV per atom

Cell: 4.805 4.805 4.805 Å, 60.00 60.00 60.00°
Sites, in units of the cell vectors:
Hf 0.000 0.000 0.000
Au 0.500 0.500 0.500
Se 0.250 0.250 0.250
Se 0.750 0.750 0.750



Compound: HfAuSe2
Source: Alexandria via LeMat-Bulk
Functional: PBE-GGA
Structure: optimized geometry

Results
* size of the total moment: 0.00 μB per cell
* SG: R-3m, No. 166
* offset from the most stable computed form: 0.0 kJ/mol of atoms
* uncorrected formation energy: -3.10 eV/f.u.
* E: -5.83 eV per atom

Cell: 8.525 8.525 8.525 Å, 24.99 24.99 24.99°
Sites, in units of the cell vectors:
Se 0.899 0.899 0.899
Au 0.000 0.000 0.000
Se 0.101 0.101 0.101
Hf 0.500 0.500 0.500